No. 1
First-principles (PBE-GGA) data for a relaxed structure of NaHfCo2Ge, as listed in Alexandria via LeMat-Bulk.

Cell: 4.319 4.652 4.319 Å, 90.00 90.00 90.00°
Sites, in units of the cell vectors:
Co 0.000 0.000 0.500
Co 0.500 0.000 0.000
Na 0.000 0.000 0.000
Ge 0.000 0.500 0.000
Hf 0.500 0.500 0.500

=====

No. 2
First-principles (PBE-GGA) data for a relaxed structure of BeFeB, as listed in Alexandria via LeMat-Bulk.

Cell: 2.929 2.648 6.207 Å, 102.32 90.00 90.00°
Sites, in units of the cell vectors:
B 0.750 0.459 0.418
B 0.250 0.541 0.582
Be 0.250 0.707 0.914
Be 0.750 0.293 0.086
Fe 0.250 0.903 0.306
Fe 0.750 0.097 0.694

=====

No. 3
First-principles (PBE-GGA) data for a relaxed structure of AlPtBr, as listed in Alexandria via LeMat-Bulk.

Cell: 3.474 2.989 12.311 Å, 90.00 90.00 90.00°
Sites, in units of the cell vectors:
Al 0.500 0.000 0.440
Al 0.500 0.500 0.940
Br 0.500 0.000 0.634
Br 0.500 0.500 0.134
Pt 0.000 0.500 0.355
Pt 0.000 0.000 0.855

Computed properties:
Formation energy without anion corrections ... -0.549 eV/atom
Excess energy over the best structure of this formula in the dataset ... 3.62 kcal/mol of atoms

=====

No. 4
First-principles (PBE-GGA) data for a relaxed structure of Tb7Sm2Y, as listed in Alexandria via LeMat-Bulk.

Cell: 3.524 14.801 14.801 Å, 154.53 90.00 90.00°
Sites, in units of the cell vectors:
Tb 0.500 0.500 0.500
Tb 0.000 0.186 0.814
Tb 0.500 0.345 0.148
Tb 0.500 0.148 0.345
Tb 0.000 0.814 0.186
Tb 0.500 0.852 0.655
Tb 0.500 0.655 0.852
Sm 0.500 0.293 0.707
Sm 0.500 0.707 0.293
Y 0.000 0.000 0.000

Computed properties:
Excess energy over the best structure of this formula in the dataset ... 3.26 kcal/mol of atoms

=====

No. 5
First-principles (PBE-GGA) data for a relaxed structure of TiPC3, as listed in Alexandria via LeMat-Bulk.

Cell: 3.609 3.609 3.609 Å, 90.00 90.00 90.00°
Sites, in units of the cell vectors:
C 0.500 0.000 0.000
C 0.000 0.000 0.500
C 0.000 0.500 0.000
P 0.000 0.000 0.000
Ti 0.500 0.500 0.500

Computed properties:
Excess energy over the best structure of this formula in the dataset ... 0.00 kcal/mol of atoms

=====

No. 6
First-principles (PBE-GGA) data for a relaxed structure of NdDy2Tm3S6, as listed in Alexandria via LeMat-Bulk.

Cell: 3.880 7.861 8.730 Å, 103.54 102.84 90.00°
Sites, in units of the cell vectors:
S 0.328 0.918 0.655
S 0.672 0.082 0.345
S 0.999 0.264 0.998
S 0.334 0.413 0.668
S 0.666 0.587 0.332
S 0.001 0.736 0.002
Tm 0.836 0.166 0.671
Tm 0.500 0.500 0.000
Tm 0.164 0.834 0.329
Nd 0.500 0.000 0.000
Dy 0.166 0.331 0.331
Dy 0.834 0.669 0.669

Computed properties:
Formation energy without anion corrections ... -1.967 eV/atom

=====

No. 7
First-principles (PBE-GGA) data for a relaxed structure of Ba6IrPd2Au, as listed in Alexandria via LeMat-Bulk.

Cell: 7.959 7.959 8.811 Å, 63.17 63.20 60.11°
Sites, in units of the cell vectors:
Pd 0.506 0.506 0.482
Pd 0.000 0.000 0.000
Ir 0.330 0.330 0.010
Ba 0.579 0.248 0.241
Ba 0.727 0.108 0.762
Ba 0.403 0.728 0.762
Ba 0.249 0.931 0.241
Ba 0.931 0.578 0.241
Ba 0.107 0.404 0.762
Au 0.829 0.829 0.513

=====

No. 8
First-principles (PBE-GGA) data for a relaxed structure of Pm8CoRh3Cl4, as listed in Alexandria via LeMat-Bulk.

Cell: 8.058 8.851 8.057 Å, 117.10 120.01 90.00°
Sites, in units of the cell vectors:
Rh 0.500 0.500 0.500
Rh 0.500 0.500 0.000
Rh 0.000 0.500 0.500
Pm 0.771 0.298 0.027
Pm 0.256 0.298 0.027
Pm 0.771 0.298 0.541
Pm 0.736 0.706 0.471
Pm 0.229 0.702 0.973
Pm 0.264 0.294 0.529
Pm 0.229 0.702 0.459
Pm 0.744 0.702 0.973
Cl 0.000 0.000 0.000
Cl 0.000 0.000 0.500
Cl 0.500 0.000 0.500
Cl 0.500 0.000 0.000
Co 0.000 0.500 0.000

Computed properties:
Formation energy without anion corrections ... -1.095 eV/atom

=====

No. 9
First-principles (PBE-GGA) data for a relaxed structure of Be2Mo2Au, as listed in Alexandria via LeMat-Bulk.

Cell: 3.607 3.607 6.044 Å, 72.64 72.64 90.00°
Sites, in units of the cell vectors:
Au 0.000 0.000 0.000
Mo 0.750 0.250 0.500
Mo 0.250 0.750 0.500
Be 0.406 0.406 0.188
Be 0.594 0.594 0.812

Computed properties:
Excess energy over the best structure of this formula in the dataset ... 11.68 kcal/mol of atoms

=====

No. 10
First-principles (PBE-GGA) data for a relaxed structure of MgScNb, as listed in Alexandria via LeMat-Bulk.

Cell: 3.419 3.423 11.668 Å, 73.13 90.00 90.00°
Sites, in units of the cell vectors:
Sc 0.750 0.972 0.779
Sc 0.250 0.028 0.221
Mg 0.250 0.664 0.586
Mg 0.750 0.336 0.414
Nb 0.750 0.689 0.061
Nb 0.250 0.311 0.939

Computed properties:
Excess energy over the best structure of this formula in the dataset ... 0.00 kcal/mol of atoms

=====

No. 11
First-principles (PBE-GGA) data for a relaxed structure of Ce2NiSn2Pt, as listed in Alexandria via LeMat-Bulk.

Cell: 4.592 7.394 7.905 Å, 90.00 90.00 90.00°
Sites, in units of the cell vectors:
Pt 0.500 0.219 0.838
Pt 0.500 0.719 0.162
Ce 0.500 0.482 0.550
Ce 0.000 0.511 0.950
Ce 0.000 0.011 0.050
Ce 0.500 0.982 0.450
Sn 0.500 0.313 0.175
Sn 0.000 0.176 0.654
Sn 0.000 0.676 0.346
Sn 0.500 0.813 0.825
Ni 0.000 0.798 0.663
Ni 0.000 0.298 0.337

=====

No. 12
First-principles (PBE-GGA) data for a relaxed structure of Bi5Pb12Au2, as listed in Alexandria via LeMat-Bulk.

Cell: 7.347 11.569 9.081 Å, 120.89 90.00 108.51°
Sites, in units of the cell vectors:
Pb 0.577 0.691 0.881
Pb 0.114 0.691 0.881
Pb 0.487 0.975 0.281
Pb 0.513 0.025 0.719
Pb 0.886 0.309 0.119
Pb 0.588 0.712 0.373
Pb 0.412 0.288 0.627
Pb 0.947 0.893 0.763
Pb 0.124 0.712 0.373
Pb 0.053 0.107 0.237
Pb 0.876 0.288 0.627
Pb 0.423 0.309 0.119
Au 0.689 0.000 0.000
Au 0.311 0.000 0.000
Bi 0.762 0.524 0.008
Bi 0.239 0.479 0.501
Bi 0.761 0.521 0.499
Bi 0.238 0.476 0.992
Bi 0.000 0.000 0.500

Computed properties:
Excess energy over the best structure of this formula in the dataset ... 0.33 kcal/mol of atoms

=====

No. 13
First-principles (PBE-GGA) data for a relaxed structure of MnCo2Si, as listed in Alexandria via LeMat-Bulk.

Cell: 4.716 4.432 2.554 Å, 85.04 76.69 116.52°
Sites, in units of the cell vectors:
Mn 0.500 0.500 0.000
Co 0.000 0.000 0.000
Co 0.000 0.500 0.500
Si 0.500 0.000 0.500

Computed properties:
Formation energy without anion corrections ... -0.134 eV/atom

=====

No. 14
First-principles (PBE-GGA) data for a relaxed structure of Er2LuTa, as listed in Alexandria via LeMat-Bulk.

Cell: 3.235 3.235 11.655 Å, 82.02 82.02 60.00°
Sites, in units of the cell vectors:
Er 0.085 0.085 0.745
Er 0.915 0.915 0.255
Lu 0.500 0.500 0.500
Ta 0.000 0.000 0.000

=====

No. 15
First-principles (PBE-GGA) data for a relaxed structure of NbCuTe3, as listed in Alexandria via LeMat-Bulk.

Cell: 5.059 5.059 5.059 Å, 90.00 90.00 90.00°
Sites, in units of the cell vectors:
Nb 0.500 0.500 0.500
Te 0.500 0.000 0.000
Te 0.000 0.000 0.500
Te 0.000 0.500 0.000
Cu 0.000 0.000 0.000

Computed properties:
Formation energy without anion corrections ... 0.741 eV/atom
Excess energy over the best structure of this formula in the dataset ... 21.70 kcal/mol of atoms

=====

No. 16
First-principles (PBE-GGA) data for a relaxed structure of ThInPd, as listed in Alexandria via LeMat-Bulk.

Cell: 4.006 7.831 13.740 Å, 90.00 90.00 90.00°
Sites, in units of the cell vectors:
Pd 0.500 0.066 0.096
Pd 0.000 0.549 0.250
Pd 0.500 0.934 0.596
Pd 0.500 0.066 0.404
Pd 0.000 0.451 0.750
Pd 0.500 0.934 0.904
In 0.500 0.435 0.118
In 0.500 0.565 0.618
In 0.500 0.565 0.882
In 0.500 0.435 0.382
In 0.500 0.196 0.750
In 0.500 0.804 0.250
Th 0.000 0.232 0.953
Th 0.000 0.851 0.750
Th 0.000 0.232 0.547
Th 0.000 0.768 0.453
Th 0.000 0.149 0.250
Th 0.000 0.768 0.047

=====

No. 17
First-principles (PBE-GGA) data for a relaxed structure of ReHg3Te, as listed in Alexandria via LeMat-Bulk.

Cell: 5.366 5.366 5.366 Å, 90.00 90.00 90.00°
Sites, in units of the cell vectors:
Re 0.000 0.000 0.000
Hg 0.000 0.500 0.000
Hg 0.500 0.000 0.000
Hg 0.000 0.000 0.500
Te 0.500 0.500 0.500

Computed properties:
Formation energy without anion corrections ... 0.985 eV/atom
Excess energy over the best structure of this formula in the dataset ... 0.00 kcal/mol of atoms

=====

No. 18
First-principles (PBE-GGA) data for a relaxed structure of TlSi2Mo, as listed in Alexandria via LeMat-Bulk.

Cell: 5.138 5.138 5.138 Å, 140.84 124.58 69.94°
Sites, in units of the cell vectors:
Mo 0.250 0.750 0.500
Tl 0.750 0.250 0.500
Si 0.485 0.485 0.000
Si 0.015 0.015 0.000

Computed properties:
Formation energy without anion corrections ... 0.549 eV/atom
Excess energy over the best structure of this formula in the dataset ... 9.11 kcal/mol of atoms

=====

No. 19
First-principles (PBE-GGA) data for a relaxed structure of CsLi2Tl2Te2, as listed in Alexandria via LeMat-Bulk.

Cell: 4.772 4.772 12.221 Å, 78.74 78.74 60.00°
Sites, in units of the cell vectors:
Te 0.744 0.744 0.768
Te 0.256 0.256 0.232
Li 0.424 0.424 0.729
Li 0.576 0.576 0.271
Tl 0.859 0.859 0.424
Tl 0.141 0.141 0.576
Cs 0.000 0.000 0.000

Computed properties:
Formation energy without anion corrections ... -0.642 eV/atom

=====

No. 20
First-principles (PBE-GGA) data for a relaxed structure of Ca2GaPd3, as listed in Alexandria via LeMat-Bulk.

Cell: 5.273 5.273 5.273 Å, 65.20 65.20 65.20°
Sites, in units of the cell vectors:
Pd 0.000 0.000 0.500
Pd 0.500 0.000 0.000
Pd 0.000 0.500 0.000
Ca 0.372 0.372 0.372
Ca 0.628 0.628 0.628
Ga 0.000 0.000 0.000

Computed properties:
Excess energy over the best structure of this formula in the dataset ... 0.00 kcal/mol of atoms

=====

no.,magnetization (μB per formula unit),final energy (eV/atom)
1,2.968,-4.73
2,0.441,-6.62
3,0.000,-4.37
4,0.000,-4.68
5,0.000,-6.76
6,0.000,-6.31
7,0.000,-3.78
8,0.000,-5.75
9,0.000,-6.00
10,0.000,-6.02
11,0.889,-6.07
12,0.000,-3.66
13,4.861,-7.33
14,0.000,-5.81
15,2.313,-3.98
16,0.000,-5.80
17,3.534,-2.31
18,0.000,-5.46
19,0.000,-2.88
20,0.000,-4.55